(1)
{
  "formula": "ZnInCu14",
  "functional": "PBE",
  "state": "optimized geometry",
  "lattice_angstrom": [[5.309, -0.011, 0.000], [0.011, 5.309, 0.000], [0.000, 0.000, 7.200]],
  "species": ["Zn", "In", "Cu", "Cu", "Cu", "Cu", "Cu", "Cu", "Cu", "Cu", "Cu", "Cu", "Cu", "Cu", "Cu", "Cu"],
  "fractional_positions": [[0.375, 0.375, 0.500], [0.875, 0.875, 0.500], [0.875, 0.875, 0.000], [0.375, 0.375, 0.000], [0.875, 0.375, 0.500], [0.875, 0.375, 0.000], [0.375, 0.875, 0.500], [0.375, 0.875, 0.000], [0.620, 0.130, 0.239], [0.620, 0.130, 0.761], [0.130, 0.620, 0.239], [0.130, 0.620, 0.761], [0.620, 0.620, 0.239], [0.620, 0.620, 0.761], [0.130, 0.130, 0.239], [0.130, 0.130, 0.761]],
  "dos_ef_per_ev_fu": 4.78,
  "spacegroup": "No. 123",
  "total_magnetization_mub_per_fu": 0.000,
  "e_form_mev_per_atom": -2
}


(2)
{
  "formula": "Er3ThSc5",
  "functional": "PBE",
  "state": "optimized geometry",
  "lattice_angstrom": [[-1.097, 2.194, -2.270], [-3.131, -6.976, -5.231], [-5.512, 3.843, 6.378]],
  "species": ["Er", "Er", "Er", "Th", "Sc", "Sc", "Sc", "Sc", "Sc"],
  "fractional_positions": [[0.000, 0.000, 0.366], [0.000, 0.366, 0.000], [0.000, 0.634, 0.634], [0.000, 0.000, 0.000], [0.500, 0.667, 0.333], [0.500, 0.333, 0.667], [0.500, 0.314, 0.314], [0.500, 0.686, 0.000], [0.500, 0.000, 0.686]],
  "dos_ef_per_ev_fu": 17.69,
  "spacegroup": "No. 189",
  "total_magnetization_mub_per_fu": 0.002,
  "e_form_mev_per_atom": 72
}